VASP calculation (GGA+U) on crystalline Y2TiVO6 at its relaxed geometry.

Cell: 5.356 5.708 9.372 Å, 90.00 124.15 90.00°
Space group P2_1/c (No. 14)
Unique sites:
Y (0.227, 0.069, 0.248) [4 per cell]
Ti (0.500, 0.000, 0.000) [2 per cell]
V (0.000, 0.000, 0.500) [2 per cell]
O (0.144, 0.184, 0.944) [4 per cell]
O (0.255, 0.707, 0.934) [4 per cell]
O (0.380, 0.049, 0.759) [4 per cell]

Properties
M_tot, μB per atom: 0.3000
Calculated total energy, eV/atom: -8.871